The following is a PBE calculation of an optimized crystal structure of Rb3CdAs2, from the Alexandria database.

Cell and atoms, written as POSCAR:
```
Rb3CdAs2
1.0
-4.209 7.705 3.569
4.209 -7.705 3.569
4.209 7.705 -3.569
Rb Cd As
6 2 4
direct
0.181 0.691 0.872
0.250 0.250 0.000
0.319 0.191 0.511
0.681 0.809 0.489
0.750 0.750 0.000
0.819 0.309 0.128
0.250 0.750 0.500
0.750 0.250 0.500
0.095 0.311 0.407
0.405 0.811 0.216
0.595 0.189 0.784
0.905 0.689 0.593
```

For the raw total energy, the calculation gives -14.831 eV/f.u. Its calculated formation energy is -0.286 eV per atom. The total magnetic moment is 1.8 Bohr magnetons per cell. Its crystal system is orthorhombic.